# Ac3PmNd PBE-GGA optimized geometry
data_Ac3PmNd
_cell_length_a 6.6594
_cell_length_b 9.4201
_cell_length_c 13.3537
_cell_angle_alpha 90.00
_cell_angle_beta 90.00
_cell_angle_gamma 90.00
_symmetry_space_group_name_H-M 'P 1'
_symmetry_Int_Tables_number 1
_symmetry_space_group_name_Hall 'P 1'
loop_
_atom_site_label
_atom_site_fract_x
_atom_site_fract_y
_atom_site_fract_z
_atom_site_occupancy
Ac1 0.0832 0.1721 0.0705 1
Ac2 0.0832 0.3279 0.4295 1
Ac3 0.1392 0.2500 0.7500 1
Ac4 0.3608 0.7500 0.7500 1
Ac5 0.4168 0.6721 0.4295 1
Ac6 0.4168 0.8279 0.0705 1
Ac7 0.5832 0.1721 0.9295 1
Ac8 0.5832 0.3279 0.5705 1
Ac9 0.6392 0.2500 0.2500 1
Ac10 0.8608 0.7500 0.2500 1
Ac11 0.9168 0.6721 0.5705 1
Ac12 0.9168 0.8279 0.9295 1
Pm1 0.2500 0.0000 0.5579 1
Pm2 0.2500 0.5000 0.9421 1
Pm3 0.7500 0.0000 0.4421 1
Pm4 0.7500 0.5000 0.0579 1
Nd1 0.2500 0.0000 0.3043 1
Nd2 0.2500 0.5000 0.1957 1
Nd3 0.7500 0.0000 0.6957 1
Nd4 0.7500 0.5000 0.8043 1
# Energy above the lowest structure with this stoichiometry   123 meV per atom
# Space-group type   Pnna, No. 52